1.
DFT (GGA-PBE) results for a geometry-optimized ZnCd4Ag structure.

Calculated values
Its energy above the most stable polymorph in this dataset is 190 meV per atom. The calculation puts the total DFT energy (no corrections) at -1.09 eV per atom. The size of the total moment comes out at 0.00 μB per atom. The formation energy comes out at 209.4 meV/atom.

Lattice parameters (Å, degrees): 5.6903 5.6903 5.6903 60.00 60.00 60.00
Element x y z (fractional)
Zn (0.0000, 0.0000, 0.0000)
Cd (0.3751, 0.3751, 0.3751)
Cd (0.3751, 0.3751, 0.8747)
Cd (0.3751, 0.8747, 0.3751)
Cd (0.8747, 0.3751, 0.3751)
Ag (0.7500, 0.7500, 0.7500)


2.
DFT (GGA-PBE) results for a geometry-optimized Zn2Cd5Ag structure.

Calculated values
The calculation puts the total DFT energy (no corrections) at -1.21 eV per atom. The size of the total moment comes out at 0.00 μB per atom. The formation energy comes out at 39.7 meV/atom.

Lattice parameters (Å, degrees): 7.3436 7.3436 5.9926 90.00 90.00 90.00
Element x y z (fractional)
Zn (0.0000, 0.5000, 0.0000)
Zn (0.0000, 0.5000, 0.5000)
Zn (0.5000, 0.0000, 0.0000)
Zn (0.5000, 0.0000, 0.5000)
Cd (0.0000, 0.0000, 0.0000)
Cd (0.2500, 0.2500, 0.2500)
Cd (0.2500, 0.2500, 0.7500)
Cd (0.2500, 0.7500, 0.2500)
Cd (0.2500, 0.7500, 0.7500)
Cd (0.5000, 0.5000, 0.5000)
Cd (0.7500, 0.2500, 0.2500)
Cd (0.7500, 0.2500, 0.7500)
Cd (0.7500, 0.7500, 0.2500)
Cd (0.7500, 0.7500, 0.7500)
Ag (0.0000, 0.0000, 0.5000)
Ag (0.5000, 0.5000, 0.0000)


3.
DFT (GGA-PBE) results for a geometry-optimized Zn6CdAg12 structure.

Calculated values
Its energy above the most stable polymorph in this dataset is 26 meV per atom. The calculation puts the total DFT energy (no corrections) at -2.16 eV per atom. The size of the total moment comes out at 0.00 μB per atom. The formation energy comes out at 86.9 meV/atom.

Lattice parameters (Å, degrees): 7.6047 7.6047 7.6047 109.47 109.47 109.47
Element x y z (fractional)
Zn (0.1397, 0.5000, 0.6397)
Zn (0.3603, 0.8603, 0.5000)
Zn (0.5000, 0.3603, 0.8603)
Zn (0.5000, 0.6397, 0.1397)
Zn (0.6397, 0.1397, 0.5000)
Zn (0.8603, 0.5000, 0.3603)
Cd (0.0000, 0.0000, 0.0000)
Ag (0.0904, 0.2718, 0.8186)
Ag (0.1814, 0.4532, 0.2718)
Ag (0.1814, 0.9096, 0.7282)
Ag (0.2718, 0.1814, 0.4532)
Ag (0.2718, 0.8186, 0.0904)
Ag (0.4532, 0.2718, 0.1814)
Ag (0.5468, 0.7282, 0.8186)
Ag (0.7282, 0.1814, 0.9096)
Ag (0.7282, 0.8186, 0.5468)
Ag (0.8186, 0.0904, 0.2718)
Ag (0.8186, 0.5468, 0.7282)
Ag (0.9096, 0.7282, 0.1814)


4.
DFT (GGA-PBE) results for a geometry-optimized Zn3CdAg7 structure.

Calculated values
The calculation puts the total DFT energy (no corrections) at -2.13 eV per atom. The size of the total moment comes out at 0.00 μB per atom. The formation energy comes out at 113.8 meV/atom.

Lattice parameters (Å, degrees): 6.5400 6.5400 5.4274 106.30 106.30 95.69
Element x y z (fractional)
Zn (0.0000, 0.0000, 0.0000)
Zn (0.2273, 0.7727, 0.5000)
Zn (0.7727, 0.2273, 0.5000)
Cd (0.5000, 0.5000, 0.0000)
Ag (0.0564, 0.5912, 0.8123)
Ag (0.1817, 0.1817, 0.5448)
Ag (0.4088, 0.9436, 0.1877)
Ag (0.5000, 0.5000, 0.5000)
Ag (0.5912, 0.0564, 0.8123)
Ag (0.8183, 0.8183, 0.4552)
Ag (0.9436, 0.4088, 0.1877)